VASP calculation (PBEsol) on a relaxed structure of MgCdCu2.

abc: 4.212 5.284 5.284
angles: 31.39 90.00 90.00
Element x y z (fractional)
Mg1 0.000 0.000 0.000
Cd1 0.500 0.670 0.670
Cu1 0.000 0.274 0.274
Cu2 0.500 0.401 0.401

## Properties
- total magnetization (μB/atom) = 0.000
- ΔH_f (0 K) (eV/atom) = -0.0112